VASP calculation (PBEsol) on a relaxed structure of Ta2IrRh.

The structure belongs to space group Cmmm (No. 65); the cell edges are 5.6858, 7.6383 and 2.8504 Å and the angles 90.00°, 90.00° and 90.00°. The distinct sites, in fractional coordinates, are Ta at (0.2500, 0.2500, 0.0000), Ir at (0.0000, 0.0000, 0.5000) and Rh at (0.0000, 0.5000, 0.5000).

For the energy of formation from the pure elements, the calculation gives -53 kJ/mol of atoms. The calculation puts the magnetic moment at 0.0000 μB/atom. Its density of states at the Fermi level is 0.722 states/eV/atom. As for the crystal system: orthorhombic.